(1)
# TaTcAg2 (PBE, optimized geometry)
data_TaTcAg2
_cell_length_a 4.5774
_cell_length_b 4.5774
_cell_length_c 4.5774
_cell_angle_alpha 60.00
_cell_angle_beta 60.00
_cell_angle_gamma 60.00
_space_group_name_H-M_alt 'P 1'
_space_group_IT_number 1
_space_group_name_Hall 'P 1'
loop_
_atom_site_label
_atom_site_fract_x
_atom_site_fract_y
_atom_site_fract_z
Ta1 0.5000 0.5000 0.5000
Tc1 0.7500 0.7500 0.7500
Ag1 0.0000 0.0000 0.0000
Ag2 0.2500 0.2500 0.2500
# - DFT formation energy (eV/atom) = 0.44
# - SG = F-43m
# - spin magnetization (μB/f.u.) = 0.00
# - excess energy over the best structure of this formula in the dataset (meV per atom) = 257


(2)
# LiCd3O (PBE, optimized geometry)
data_LiCd3O
_cell_length_a 4.8154
_cell_length_b 4.8154
_cell_length_c 4.8154
_cell_angle_alpha 90.00
_cell_angle_beta 90.00
_cell_angle_gamma 90.00
_space_group_name_H-M_alt 'P 1'
_space_group_IT_number 1
_space_group_name_Hall 'P 1'
loop_
_atom_site_label
_atom_site_fract_x
_atom_site_fract_y
_atom_site_fract_z
Li1 0.0000 0.0000 0.0000
Cd1 0.5000 0.0000 0.0000
Cd2 0.0000 0.5000 0.0000
Cd3 0.0000 0.0000 0.5000
O1 0.5000 0.5000 0.5000
# - SG = Pm-3m
# - spin magnetization (μB/f.u.) = 0.00
# - excess energy over the best structure of this formula in the dataset (meV per atom) = 648


(3)
# ZrAlPd6 (PBE, optimized geometry)
data_ZrAlPd6
_cell_length_a 3.9987
_cell_length_b 3.9987
_cell_length_c 7.8476
_cell_angle_alpha 90.00
_cell_angle_beta 90.00
_cell_angle_gamma 90.00
_space_group_name_H-M_alt 'P 1'
_space_group_IT_number 1
_space_group_name_Hall 'P 1'
loop_
_atom_site_label
_atom_site_fract_x
_atom_site_fract_y
_atom_site_fract_z
Pd1 0.0000 0.5000 0.2580
Pd2 0.0000 0.5000 0.7420
Pd3 0.5000 0.5000 0.5000
Pd4 0.5000 0.5000 0.0000
Pd5 0.5000 0.0000 0.2580
Pd6 0.5000 0.0000 0.7420
Al1 0.0000 0.0000 0.5000
Zr1 0.0000 0.0000 0.0000
# - DFT formation energy (eV/atom) = -0.73
# - SG = P4/mmm
# - spin magnetization (μB/f.u.) = 0.00
# - excess energy over the best structure of this formula in the dataset (meV per atom) = 0


(4)
# Sm5Y2Ho4 (PBE, optimized geometry)
data_Sm5Y2Ho4
_cell_length_a 6.6979
_cell_length_b 8.9865
_cell_length_c 10.2195
_cell_angle_alpha 39.83
_cell_angle_beta 70.87
_cell_angle_gamma 68.12
_space_group_name_H-M_alt 'P 1'
_space_group_IT_number 1
_space_group_name_Hall 'P 1'
loop_
_atom_site_label
_atom_site_fract_x
_atom_site_fract_y
_atom_site_fract_z
Y1 0.7974 0.0960 0.3092
Y2 0.2026 0.9040 0.6908
Ho1 0.4097 0.7736 0.4070
Ho2 0.7553 0.6690 0.8204
Ho3 0.2447 0.3310 0.1796
Ho4 0.5903 0.2264 0.5930
Sm1 0.1770 0.2728 0.9042
Sm2 0.0000 0.5000 0.5000
Sm3 0.3540 0.7272 0.0958
Sm4 0.8230 0.7272 0.0958
Sm5 0.6460 0.2728 0.9042
# - DFT formation energy (eV/atom) = 0.17
# - SG = C2/m
# - spin magnetization (μB/f.u.) = 0.00
# - excess energy over the best structure of this formula in the dataset (meV per atom) = 83


(5)
# La6AgGe2Br3 (PBE, optimized geometry)
data_La6AgGe2Br3
_cell_length_a 4.4376
_cell_length_b 8.8381
_cell_length_c 9.8080
_cell_angle_alpha 101.07
_cell_angle_beta 103.07
_cell_angle_gamma 90.00
_space_group_name_H-M_alt 'P 1'
_space_group_IT_number 1
_space_group_name_Hall 'P 1'
loop_
_atom_site_label
_atom_site_fract_x
_atom_site_fract_y
_atom_site_fract_z
Ag1 0.5000 0.0000 0.0000
Br1 0.5000 0.5000 0.0000
Br2 0.8333 0.1653 0.6666
Br3 0.1667 0.8347 0.3334
La1 0.3337 0.8961 0.6673
La2 0.3283 0.4287 0.6565
La3 0.6717 0.5713 0.3435
La4 0.6663 0.1039 0.3327
La5 0.0065 0.2517 0.0130
La6 0.9935 0.7482 0.9870
Ge1 0.8336 0.6649 0.6672
Ge2 0.1664 0.3351 0.3328
# - raw total energy (eV/cell) = -59.3
# - SG = C2/m
# - spin magnetization (μB/f.u.) = 0.00


(6)
# MoRuBr4 (PBE, optimized geometry)
data_MoRuBr4
_cell_length_a 6.1510
_cell_length_b 6.1510
_cell_length_c 6.1510
_cell_angle_alpha 60.00
_cell_angle_beta 60.00
_cell_angle_gamma 60.00
_space_group_name_H-M_alt 'P 1'
_space_group_IT_number 1
_space_group_name_Hall 'P 1'
loop_
_atom_site_label
_atom_site_fract_x
_atom_site_fract_y
_atom_site_fract_z
Br1 0.3745 0.3745 0.8765
Br2 0.3745 0.3745 0.3745
Br3 0.8765 0.3745 0.3745
Br4 0.3745 0.8765 0.3745
Mo1 0.7500 0.7500 0.7500
Ru1 0.0000 0.0000 0.0000
# - raw total energy (eV/cell) = -16.5
# - SG = F-43m
# - spin magnetization (μB/f.u.) = 7.27